AsAu5 | GGA-PBEsol | relaxed

Summary:
Total moment = 0.000 μB per formula unit
Symmetry = P4/mmm (123)
Formation energy = 45 kJ/mol of formula units
Raw total energy = -4.0435 eV per atom

Cell lengths 2.8702, 2.8702, 12.5499 Å; angles 90.00, 90.00, 90.00 degrees
Last column: nearest neighbours and their distance in Å.
Atoms (fractional coordinates):
As 0.0000 0.0000 0.0000  4 As 2.87, 8 Au 2.94
Au 0.0000 0.0000 0.3359  12 Au 2.87-2.91
Au 0.0000 0.0000 0.6641  12 Au 2.87-2.91
Au 0.5000 0.5000 0.1694  8 Au 2.87-2.91, 4 As 2.94
Au 0.5000 0.5000 0.5000  12 Au 2.87-2.89
Au 0.5000 0.5000 0.8306  8 Au 2.87-2.91, 4 As 2.94


KNaNbRh2 | GGA-PBEsol | relaxed

Summary:
Total moment = 0.002 μB per formula unit
Symmetry = P4/mmm (123)
Formation energy = 1126 kJ/mol of formula units
Raw total energy = -3.5921 eV per atom

Cell lengths 4.7164, 4.7164, 4.6132 Å; angles 90.00, 90.00, 90.00 degrees
Last column: nearest neighbours and their distance in Å.
Atoms (fractional coordinates):
K 0.0000 0.0000 0.0000  2 Nb 2.31, 4 Rh 2.36
Na 0.5000 0.5000 0.5000  8 Rh 3.30, 4 Nb 3.34
Nb 0.0000 0.0000 0.5000  2 K 2.31
Rh 0.0000 0.5000 0.0000  2 K 2.36
Rh 0.5000 0.0000 0.0000  2 K 2.36


KAlTl2 | GGA-PBEsol | relaxed

Summary:
Total moment = 0.000 μB per formula unit
Symmetry = Pmm2 (25)
Formation energy = 39 kJ/mol of formula units
Raw total energy = -2.5204 eV per atom

Cell lengths 3.6666, 3.9392, 8.0570 Å; angles 90.00, 90.00, 90.00 degrees
Last column: nearest neighbours and their distance in Å.
Atoms (fractional coordinates):
K 0.0000 0.0000 0.0000  5 Tl 3.64-3.71, 4 Al 3.65, 4 K 3.67-3.94
Al 0.5000 0.5000 0.6948  5 Tl 2.97-3.15
Tl 0.0000 0.0000 0.5391  4 Al 2.97, 4 Tl 3.29
Tl 0.5000 0.5000 0.3043  1 Al 3.15, 4 Tl 3.29


Ca2TeW | GGA-PBEsol | relaxed

Summary:
Total moment = 1.658 μB per formula unit
Symmetry = I4/mmm (139)
Raw formation energy = 474 meV per atom
Raw total energy = -4.9264 eV per atom

Cell lengths 5.6358, 5.6358, 5.6358 Å; angles 134.06, 134.06, 67.00 degrees
Last column: nearest neighbours and their distance in Å.
Atoms (fractional coordinates):
Ca 0.2500 0.7500 0.5000  4 Ca 3.11, 4 W 3.22, 4 Te 3.22
Ca 0.7500 0.2500 0.5000  4 Ca 3.11, 4 W 3.22, 4 Te 3.22
Te 0.0000 0.0000 0.0000  4 W 3.11, 8 Ca 3.22
W 0.5000 0.5000 0.0000  4 Te 3.11, 8 Ca 3.22


Ti2InHgF | GGA-PBEsol | relaxed

Summary:
Total moment = 1.616 μB per formula unit
Symmetry = P4/mmm (123)
Raw formation energy = 468 meV per atom
Raw total energy = -3.9564 eV per atom

Cell lengths 5.1956, 5.1956, 4.2546 Å; angles 90.00, 90.00, 90.00 degrees
Last column: nearest neighbours and their distance in Å.
Atoms (fractional coordinates):
Ti 0.0000 0.5000 0.0000  2 In 2.60
Ti 0.5000 0.0000 0.0000  2 In 2.60
In 0.0000 0.0000 0.0000  2 F 2.13
Hg 0.5000 0.5000 0.5000  8 Ti 3.36, 4 F 3.67
F 0.0000 0.0000 0.5000  2 In 2.13


K3Hg | GGA-PBEsol | relaxed

Summary:
Total moment = 0.000 μB per formula unit
Symmetry = I4/mmm (139)
Formation energy = -14 kJ/mol of formula units
Raw total energy = -1.0285 eV per atom

Cell lengths 6.7264, 6.7264, 6.7264 Å; angles 128.67, 128.67, 75.54 degrees
Last column: nearest neighbours and their distance in Å.
Atoms (fractional coordinates):
K 0.0000 0.0000 0.0000  8 K 3.94, 4 Hg 4.12
K 0.2500 0.7500 0.5000  4 Hg 3.94, 8 K 3.94-4.12
K 0.7500 0.2500 0.5000  4 Hg 3.94, 8 K 3.94-4.12
Hg 0.5000 0.5000 0.0000  12 K 3.94-4.12


Mo | GGA-PBEsol | relaxed

Summary:
Total moment = 0.000 μB per formula unit
Symmetry = Pm-3n (223)
Formation energy = 10 kJ/mol of formula units
Raw total energy = -11.6661 eV per atom

Cell lengths 4.9901, 4.9901, 4.9901 Å; angles 90.00, 90.00, 90.00 degrees
Last column: nearest neighbours and their distance in Å.
Atoms (fractional coordinates):
Mo 0.0000 0.0000 0.0000  12 Mo 2.79
Mo 0.0000 0.2500 0.5000  6 Mo 2.50-2.79
Mo 0.0000 0.7500 0.5000  6 Mo 2.50-2.79
Mo 0.2500 0.5000 0.0000  6 Mo 2.50-2.79
Mo 0.5000 0.0000 0.2500  6 Mo 2.50-2.79
Mo 0.5000 0.0000 0.7500  6 Mo 2.50-2.79
Mo 0.5000 0.5000 0.5000  12 Mo 2.79
Mo 0.7500 0.5000 0.0000  6 Mo 2.50-2.79


LiCdOs3 | GGA-PBEsol | relaxed

Summary:
Total moment = 3.359 μB per formula unit
Symmetry = Pm-3m (221)
Formation energy = 1506 kJ/mol of formula units
Raw total energy = -4.8402 eV per atom

Cell lengths 4.8226, 4.8226, 4.8226 Å; angles 90.00, 90.00, 90.00 degrees
Last column: nearest neighbours and their distance in Å.
Atoms (fractional coordinates):
Li 0.0000 0.0000 0.0000  12 Os 3.41
Cd 0.5000 0.5000 0.5000  6 Os 2.41
Os 0.0000 0.5000 0.5000  2 Cd 2.41
Os 0.5000 0.0000 0.5000  2 Cd 2.41
Os 0.5000 0.5000 0.0000  2 Cd 2.41


IrPbCl3 | GGA-PBEsol | relaxed

Summary:
Total moment = 0.000 μB per formula unit
Symmetry = Pm-3m (221)
Raw formation energy = -107 meV per atom
Raw total energy = -4.0765 eV per atom

Cell lengths 4.7739, 4.7739, 4.7739 Å; angles 90.00, 90.00, 90.00 degrees
Last column: nearest neighbours and their distance in Å.
Atoms (fractional coordinates):
Ir 0.0000 0.0000 0.0000  6 Cl 2.39
Pb 0.5000 0.5000 0.5000  12 Cl 3.38
Cl 0.0000 0.0000 0.5000  2 Ir 2.39
Cl 0.0000 0.5000 0.0000  2 Ir 2.39
Cl 0.5000 0.0000 0.0000  2 Ir 2.39


ZrTe2RuN | GGA-PBEsol | relaxed

Summary:
Total moment = 0.002 μB per formula unit
Symmetry = P4/mmm (123)
Raw formation energy = 99 meV per atom
Raw total energy = -6.8694 eV per atom

Cell lengths 5.3209, 5.3209, 3.6342 Å; angles 90.00, 90.00, 90.00 degrees
Last column: nearest neighbours and their distance in Å.
Atoms (fractional coordinates):
Zr 0.0000 0.0000 0.0000  8 Te 3.22
Te 0.0000 0.5000 0.5000  2 Ru 2.66
Te 0.5000 0.0000 0.5000  2 Ru 2.66
Ru 0.5000 0.5000 0.5000  2 N 1.82
N 0.5000 0.5000 0.0000  2 Ru 1.82


NiOsNO2 | GGA-PBEsol | relaxed

Summary:
Total moment = 0.014 μB per formula unit
Symmetry = P4/mmm (123)
Raw formation energy = 956 meV per atom
Raw total energy = -6.5239 eV per atom

Cell lengths 3.5862, 3.5862, 3.6668 Å; angles 90.00, 90.00, 90.00 degrees
Last column: nearest neighbours and their distance in Å.
Atoms (fractional coordinates):
Ni 0.0000 0.0000 0.0000  4 O 1.79, 2 N 1.83
Os 0.5000 0.5000 0.5000  4 N 2.54, 8 O 2.56
N 0.0000 0.0000 0.5000  2 Ni 1.83
O 0.0000 0.5000 0.0000  2 Ni 1.79
O 0.5000 0.0000 0.0000  2 Ni 1.79


MnTlSi2 | GGA-PBEsol | relaxed

Summary:
Total moment = 3.105 μB per formula unit
Symmetry = Fm-3m (225)
Raw formation energy = 725 meV per atom
Raw total energy = -5.2459 eV per atom

Cell lengths 4.6303, 4.6303, 4.6303 Å; angles 60.00, 60.00, 60.00 degrees
Last column: nearest neighbours and their distance in Å.
Atoms (fractional coordinates):
Mn 0.0000 0.0000 0.0000  8 Si 2.84
Tl 0.5000 0.5000 0.5000  8 Si 2.84
Si 0.2500 0.2500 0.2500  4 Tl 2.84, 4 Mn 2.84
Si 0.7500 0.7500 0.7500  4 Tl 2.84, 4 Mn 2.84


LiCd2Rh | GGA-PBEsol | relaxed

Summary:
Total moment = 0.000 μB per formula unit
Symmetry = I-4m2 (119)
Formation energy = -72 kJ/mol of formula units
Raw total energy = -3.3116 eV per atom

Cell lengths 4.9719, 4.9719, 4.9719 Å; angles 133.00, 133.00, 68.66 degrees
Last column: nearest neighbours and their distance in Å.
Atoms (fractional coordinates):
Li 0.0000 0.0000 0.0000  8 Cd 2.80-2.85, 4 Rh 2.85
Cd 0.2500 0.7500 0.5000  4 Rh 2.80, 4 Cd 2.85, 4 Li 2.85
Cd 0.5000 0.5000 0.0000  4 Li 2.80, 4 Cd 2.85, 4 Rh 2.85
Rh 0.7500 0.2500 0.5000  8 Cd 2.80-2.85, 4 Li 2.85


NaLa2ZnRe | GGA-PBEsol | relaxed

Summary:
Total moment = 0.002 μB per formula unit
Symmetry = P4/mmm (123)
Formation energy = 401 kJ/mol of formula units
Raw total energy = -4.5700 eV per atom

Cell lengths 5.6098, 5.6098, 4.6569 Å; angles 90.00, 90.00, 90.00 degrees
Last column: nearest neighbours and their distance in Å.
Atoms (fractional coordinates):
Na 0.0000 0.0000 0.0000  8 La 3.65, 4 Re 3.97
La 0.0000 0.5000 0.5000  2 Zn 2.80
La 0.5000 0.0000 0.5000  2 Zn 2.80
Zn 0.5000 0.5000 0.5000  2 Re 2.33
Re 0.5000 0.5000 0.0000  2 Zn 2.33


BaTlHg2 | GGA-PBEsol | relaxed

Summary:
Total moment = 0.000 μB per formula unit
Symmetry = Pm (6)
Formation energy = -127 kJ/mol of formula units
Raw total energy = -1.8082 eV per atom

Cell lengths 3.9583, 4.6639, 6.8690 Å; angles 90.00, 106.31, 90.00 degrees
Last column: nearest neighbours and their distance in Å.
Atoms (fractional coordinates):
Ba 0.0000 0.0000 0.0000  6 Hg 3.39-3.67, 2 Tl 3.78
Tl 0.3075 0.5000 0.6508  6 Hg 3.19-3.46
Hg 0.6159 0.5000 0.2273  2 Hg 2.88
Hg 0.6998 0.0000 0.4819  2 Hg 2.88, 2 Tl 3.19


CsSn2Hg2 | GGA-PBEsol | relaxed

Summary:
Total moment = 0.000 μB per formula unit
Symmetry = I4/mmm (139)
Formation energy = -88 kJ/mol of formula units
Raw total energy = -2.3020 eV per atom

Cell lengths 7.2873, 7.2873, 7.2873 Å; angles 141.26, 141.26, 55.94 degrees
Last column: nearest neighbours and their distance in Å.
Atoms (fractional coordinates):
Cs 0.0000 0.0000 0.0000  8 Hg 3.70, 8 Sn 4.02
Sn 0.2500 0.7500 0.5000  4 Hg 3.01
Sn 0.7500 0.2500 0.5000  4 Hg 3.01
Hg 0.3892 0.3892 0.0000  1 Hg 2.85, 4 Sn 3.01
Hg 0.6108 0.6108 0.0000  1 Hg 2.85, 4 Sn 3.01


SbCl | GGA-PBEsol | relaxed

Summary:
Total moment = 0.000 μB per formula unit
Symmetry = P6_3/mmc (194)
Raw formation energy = 378 meV per atom
Raw total energy = -2.9044 eV per atom

Cell lengths 4.4684, 4.4684, 6.0820 Å; angles 90.00, 90.00, 120.00 degrees
Last column: nearest neighbours and their distance in Å.
Atoms (fractional coordinates):
Sb 0.3333 0.6667 0.2500  6 Cl 2.99
Sb 0.6667 0.3333 0.7500  6 Cl 2.99
Cl 0.0000 0.0000 0.0000  6 Sb 2.99, 2 Cl 3.04
Cl 0.0000 0.0000 0.5000  6 Sb 2.99, 2 Cl 3.04


BeMo2Cl | GGA-PBEsol | relaxed

Summary:
Total moment = 0.000 μB per formula unit
Symmetry = Pmmm (47)
Raw formation energy = 260 meV per atom
Raw total energy = -7.1255 eV per atom

Cell lengths 2.9273, 3.1254, 6.6125 Å; angles 90.00, 90.00, 90.00 degrees
Last column: nearest neighbours and their distance in Å.
Atoms (fractional coordinates):
Be 0.0000 0.0000 0.0000  8 Mo 2.45
Mo 0.5000 0.5000 0.1795  1 Mo 2.37, 4 Be 2.45, 2 Cl 2.58
Mo 0.5000 0.5000 0.8205  1 Mo 2.37, 4 Be 2.45, 2 Cl 2.58
Cl 0.0000 0.5000 0.5000  4 Mo 2.58


Ba3Mn2RuO9 | GGA-PBEsol | relaxed

Summary:
Total moment = 4.011 μB per formula unit
Symmetry = R3m (160)
Raw formation energy = -2137 meV per atom
Raw total energy = -7.6960 eV per atom

Cell lengths 7.7085, 7.7085, 7.7085 Å; angles 43.18, 43.18, 43.18 degrees
Last column: nearest neighbours and their distance in Å.
Atoms (fractional coordinates):
Ba 0.0000 0.0000 0.0000  12 O 2.84-2.97
Ba 0.2133 0.2133 0.2133  12 O 2.84-2.96
Ba 0.7794 0.7794 0.7794  12 O 2.84-2.91
Mn 0.3778 0.3778 0.3778  6 O 1.87-1.93
Mn 0.4974 0.4974 0.4974  6 O 1.89-1.90
Ru 0.6133 0.6133 0.6133  6 O 1.98-1.99
O 0.0046 0.4956 0.4956  1 Mn 1.87, 1 Ru 1.99
O 0.2448 0.7065 0.7065  1 Mn 1.90, 1 Ru 1.98
O 0.2921 0.2921 0.7330  2 Mn 1.89-1.93
O 0.2921 0.7330 0.2921  2 Mn 1.89-1.93
O 0.4956 0.0046 0.4956  1 Mn 1.87, 1 Ru 1.99
O 0.4956 0.4956 0.0046  1 Mn 1.87, 1 Ru 1.99
O 0.7065 0.2448 0.7065  1 Mn 1.90, 1 Ru 1.98
O 0.7065 0.7065 0.2448  1 Mn 1.90, 1 Ru 1.98
O 0.7330 0.2921 0.2921  2 Mn 1.89-1.93


MnIn2Cl | GGA-PBEsol | relaxed

Summary:
Total moment = 3.281 μB per formula unit
Symmetry = P4/mmm (123)
Raw formation energy = 7 meV per atom
Raw total energy = -4.4271 eV per atom

Cell lengths 3.2127, 3.2127, 7.7095 Å; angles 90.00, 90.00, 90.00 degrees
Last column: nearest neighbours and their distance in Å.
Atoms (fractional coordinates):
Mn 0.0000 0.0000 0.0000  8 In 2.82
In 0.5000 0.5000 0.2159  4 Mn 2.82
In 0.5000 0.5000 0.7841  4 Mn 2.82
Cl 0.0000 0.0000 0.5000  8 In 3.16, 4 Cl 3.21